# Li2AcMoF8

A geometry-optimized Li2AcMoF8 structure (GGA+U, Alexandria).

Summary:
energy = -5.692 eV per atom
size of the total moment = 0.250 μB/atom
V = 14.0 A^3/atom

```
12
Lattice="4.293 0.000 0.000 -0.405 5.107 0.000 -0.150 -0.908 7.655" Properties=species:S:1:pos:R:3 pbc="T T T"
Li -0.092 2.065 2.391
Li 3.830 2.133 5.264
Ac 2.146 0.000 0.000
Mo 2.071 -0.454 3.827
F 0.132 1.260 0.520
F 0.444 0.882 3.922
F 1.121 3.637 2.017
F 1.169 3.273 5.350
F 2.569 0.925 2.305
F 2.616 0.561 5.638
F 3.293 3.316 3.732
F 3.606 2.938 7.135
```